VASP calculation (GGA+U) on VCd2BO5 after structural relaxation.

For the total DFT energy (no corrections), the calculation gives -108.70 eV/cell. The density of states at the Fermi level comes out at 3.0 states/eV per cell.

Cell and atoms, written as POSCAR:
```
VCd2BO5
1.0
-0.082 -2.498 -1.437
7.183 0.172 2.185
-2.584 -5.030 8.888
Cd O V B
4 10 2 2
direct
0.918 0.835 0.174
0.863 0.727 0.823
0.082 0.165 0.674
0.137 0.273 0.323
0.034 0.069 0.012
0.513 0.027 0.326
0.487 0.973 0.826
0.359 0.718 0.409
0.966 0.931 0.512
0.297 0.595 0.967
0.318 0.636 0.653
0.682 0.364 0.153
0.703 0.405 0.467
0.641 0.282 0.909
0.813 0.627 0.527
0.187 0.373 0.027
0.456 0.912 0.433
0.544 0.088 0.933
```